(1)
## NaBi2O (PBE-GGA)

Data for a relaxed structure of NaBi2O.

The calculation puts the magnetic moment at 0.0 μB/f.u. Its total energy is -3.7824 eV/atom. Its uncorrected formation energy is -0.2726 eV/atom.

The structure belongs to space group I4_1/amd (No. 141, origin choice 2); the cell edges are 6.276, 6.276 and 13.953 Å and the angles 90.00°, 90.00° and 90.00°. The distinct sites, in fractional coordinates, are Na at (0.000, 0.250, 0.375), Bi at (0.000, 0.000, 0.000) and O at (0.000, 0.250, 0.875).

---

(2)
## Na2Bi4O7 (PBE-GGA)

Data for a relaxed structure of Na2Bi4O7.

The calculation puts the magnetic moment at 0.0 μB/f.u. Its total energy is -5.3740 eV/atom. Its uncorrected formation energy is -1.3071 eV/atom.

The structure belongs to space group C2/c (No. 15); the cell edges are 11.441, 17.384 and 5.980 Å and the angles 90.00°, 116.77° and 90.00°. The distinct sites, in fractional coordinates, are Na at (0.073, 0.090, 0.067), Bi at (0.140, 0.248, 0.680), Bi at (0.210, 0.430, 0.284), O at (0.000, 0.186, 0.750), O at (0.142, 0.142, 0.466), O at (0.188, 0.015, 0.889) and O at (0.193, 0.314, 0.054).

---

(3)
## Na8BiO3 (PBE-GGA)

Data for a relaxed structure of Na8BiO3.

The calculation puts the magnetic moment at 1.1 μB/f.u. Its total energy is -3.1617 eV/atom. Its uncorrected formation energy is -0.7194 eV/atom.

The structure belongs to space group Pm-3m (No. 221); the cell edges are 6.183, 6.183 and 6.183 Å and the angles 90.00°, 90.00° and 90.00°. The distinct sites, in fractional coordinates, are Na at (0.228, 0.228, 0.228), Bi at (0.500, 0.500, 0.500) and O at (0.000, 0.000, 0.500).